Record 1
# Fe4AgPd5 (PBE, optimized geometry)
# Energy relative to the elements   -0.53 eV per formula unit
# Calculated volume   144 Å³/cell
# Magnetization   13.5 Bohr magnetons per cell
# Raw total energy   -6.320 eV/atom
data_Fe4AgPd5
_chemical_formula_sum 'Fe4 Ag1 Pd5'
_cell_length_a 2.753
_cell_length_b 2.753
_cell_length_c 19.033
_cell_angle_alpha 90.00
_cell_angle_beta 90.00
_cell_angle_gamma 90.00
_space_group_name_H-M_alt 'P 1'
_space_group_IT_number 1
loop_
_space_group_symop_operation_xyz
'x,y,z'
loop_
_atom_site_label
_atom_site_fract_x
_atom_site_fract_y
_atom_site_fract_z
Pd1 0.500 0.500 0.305
Fe1 0.000 0.000 0.402
Fe2 0.000 0.000 0.208
Pd2 0.500 0.500 0.695
Fe3 0.000 0.000 0.792
Ag1 0.000 0.000 0.000
Pd3 0.500 0.500 0.500
Pd4 0.500 0.500 0.114
Fe4 0.000 0.000 0.598
Pd5 0.500 0.500 0.886

Record 2
# FeAgPd2 (PBE, optimized geometry)
# Offset from the most stable computed form   0.037 eV per atom
# Energy relative to the elements   -0.10 eV per formula unit
# Calculated volume   61 Å³/cell
# Magnetization   3.7 Bohr magnetons per cell
# Raw total energy   -5.451 eV/atom
data_FeAgPd2
_chemical_formula_sum 'Fe1 Ag1 Pd2'
_cell_length_a 2.814
_cell_length_b 2.814
_cell_length_c 9.090
_cell_angle_alpha 81.10
_cell_angle_beta 81.10
_cell_angle_gamma 60.00
_space_group_name_H-M_alt 'P 1'
_space_group_IT_number 1
loop_
_space_group_symop_operation_xyz
'x,y,z'
loop_
_atom_site_label
_atom_site_fract_x
_atom_site_fract_y
_atom_site_fract_z
Ag1 0.500 0.500 0.500
Pd1 0.257 0.257 0.230
Pd2 0.077 0.077 0.770
Fe1 0.667 0.667 0.000

Record 3
# Fe2AgPd (PBE, optimized geometry)
# Offset from the most stable computed form   0.207 eV per atom
# Energy relative to the elements   3.09 eV per formula unit
# Calculated volume   54 Å³/cell
# Magnetization   0.0 Bohr magnetons per cell
# Raw total energy   -5.469 eV/atom
data_Fe2AgPd
_chemical_formula_sum 'Fe2 Ag1 Pd1'
_cell_length_a 4.251
_cell_length_b 4.251
_cell_length_c 4.251
_cell_angle_alpha 60.00
_cell_angle_beta 60.00
_cell_angle_gamma 60.00
_space_group_name_H-M_alt 'P 1'
_space_group_IT_number 1
loop_
_space_group_symop_operation_xyz
'x,y,z'
loop_
_atom_site_label
_atom_site_fract_x
_atom_site_fract_y
_atom_site_fract_z
Fe1 0.250 0.250 0.250
Fe2 0.750 0.750 0.750
Pd1 0.000 0.000 0.000
Ag1 0.500 0.500 0.500

Record 4
# FeAg2Pd (PBE, optimized geometry)
# Offset from the most stable computed form   0.000 eV per atom
# Energy relative to the elements   1.04 eV per formula unit
# Calculated volume   64 Å³/cell
# Magnetization   3.0 Bohr magnetons per cell
# Raw total energy   -4.580 eV/atom
data_FeAg2Pd
_chemical_formula_sum 'Fe1 Ag2 Pd1'
_cell_length_a 4.489
_cell_length_b 4.489
_cell_length_c 4.489
_cell_angle_alpha 60.00
_cell_angle_beta 60.00
_cell_angle_gamma 60.00
_space_group_name_H-M_alt 'P 1'
_space_group_IT_number 1
loop_
_space_group_symop_operation_xyz
'x,y,z'
loop_
_atom_site_label
_atom_site_fract_x
_atom_site_fract_y
_atom_site_fract_z
Ag1 0.750 0.750 0.750
Ag2 0.250 0.250 0.250
Pd1 0.500 0.500 0.500
Fe1 0.000 0.000 0.000

Record 5
# Fe2AgPd9 (PBE, optimized geometry)
# Energy relative to the elements   -0.83 eV per formula unit
# Calculated volume   181 Å³/cell
# Magnetization   8.3 Bohr magnetons per cell
# Raw total energy   -5.612 eV/atom
data_Fe2AgPd9
_chemical_formula_sum 'Fe2 Ag1 Pd9'
_cell_length_a 3.937
_cell_length_b 3.937
_cell_length_c 11.711
_cell_angle_alpha 90.00
_cell_angle_beta 90.00
_cell_angle_gamma 90.00
_space_group_name_H-M_alt 'P 1'
_space_group_IT_number 1
loop_
_space_group_symop_operation_xyz
'x,y,z'
loop_
_atom_site_label
_atom_site_fract_x
_atom_site_fract_y
_atom_site_fract_z
Pd1 0.500 0.000 0.500
Pd2 0.500 0.000 0.177
Pd3 0.500 0.500 0.662
Ag1 0.000 0.000 0.000
Pd4 0.500 0.000 0.823
Fe1 0.000 0.000 0.333
Pd5 0.000 0.500 0.177
Pd6 0.500 0.500 0.000
Pd7 0.000 0.500 0.500
Fe2 0.000 0.000 0.667
Pd8 0.000 0.500 0.823
Pd9 0.500 0.500 0.338

Record 6
# FeAgPd2Pt (PBE, optimized geometry)
# Energy relative to the elements   7.48 eV per formula unit
# Calculated volume   115 Å³/cell
# Magnetization   4.1 Bohr magnetons per cell
# Raw total energy   -4.051 eV/atom
data_FeAgPd2Pt
_chemical_formula_sum 'Fe1 Ag1 Pd2 Pt1'
_cell_length_a 4.833
_cell_length_b 4.915
_cell_length_c 4.833
_cell_angle_alpha 90.00
_cell_angle_beta 90.00
_cell_angle_gamma 90.00
_space_group_name_H-M_alt 'P 1'
_space_group_IT_number 1
loop_
_space_group_symop_operation_xyz
'x,y,z'
loop_
_atom_site_label
_atom_site_fract_x
_atom_site_fract_y
_atom_site_fract_z
Ag1 0.000 0.000 0.000
Fe1 0.500 0.500 0.500
Pd1 0.500 0.000 0.000
Pd2 0.000 0.000 0.500
Pt1 0.000 0.500 0.000

Record 7
# FeAgPdPt (PBE, optimized geometry)
# Offset from the most stable computed form   0.000 eV per atom
# Energy relative to the elements   -0.42 eV per formula unit
# Calculated volume   61 Å³/cell
# Magnetization   3.6 Bohr magnetons per cell
# Raw total energy   -5.741 eV/atom
data_FeAgPdPt
_chemical_formula_sum 'Fe1 Ag1 Pd1 Pt1'
_cell_length_a 2.811
_cell_length_b 2.811
_cell_length_c 7.741
_cell_angle_alpha 90.00
_cell_angle_beta 90.00
_cell_angle_gamma 90.00
_space_group_name_H-M_alt 'P 1'
_space_group_IT_number 1
loop_
_space_group_symop_operation_xyz
'x,y,z'
loop_
_atom_site_label
_atom_site_fract_x
_atom_site_fract_y
_atom_site_fract_z
Pt1 0.500 0.500 0.347
Ag1 0.000 0.000 0.069
Fe1 0.000 0.000 0.571
Pd1 0.500 0.500 0.797

Record 8
# FeAgPdPt (PBE, optimized geometry)
# Offset from the most stable computed form   0.127 eV per atom
# Energy relative to the elements   0.09 eV per formula unit
# Calculated volume   62 Å³/cell
# Magnetization   3.9 Bohr magnetons per cell
# Raw total energy   -5.614 eV/atom
data_FeAgPdPt
_chemical_formula_sum 'Fe1 Ag1 Pd1 Pt1'
_cell_length_a 4.442
_cell_length_b 4.442
_cell_length_c 4.442
_cell_angle_alpha 60.00
_cell_angle_beta 60.00
_cell_angle_gamma 60.00
_space_group_name_H-M_alt 'P 1'
_space_group_IT_number 1
loop_
_space_group_symop_operation_xyz
'x,y,z'
loop_
_atom_site_label
_atom_site_fract_x
_atom_site_fract_y
_atom_site_fract_z
Pd1 0.250 0.250 0.250
Ag1 0.000 0.000 0.000
Pt1 0.750 0.750 0.750
Fe1 0.500 0.500 0.500

Record 9
# FeAgPdRh2 (PBE, optimized geometry)
# Energy relative to the elements   10.20 eV per formula unit
# Calculated volume   103 Å³/cell
# Magnetization   0.0 Bohr magnetons per cell
# Raw total energy   -4.202 eV/atom
data_FeAgPdRh2
_chemical_formula_sum 'Fe1 Ag1 Pd1 Rh2'
_cell_length_a 4.786
_cell_length_b 4.786
_cell_length_c 4.494
_cell_angle_alpha 90.00
_cell_angle_beta 90.00
_cell_angle_gamma 90.00
_space_group_name_H-M_alt 'P 1'
_space_group_IT_number 1
loop_
_space_group_symop_operation_xyz
'x,y,z'
loop_
_atom_site_label
_atom_site_fract_x
_atom_site_fract_y
_atom_site_fract_z
Fe1 0.000 0.000 0.500
Rh1 0.000 0.500 0.000
Pd1 0.500 0.500 0.500
Ag1 0.000 0.000 0.000
Rh2 0.500 0.000 0.000

Record 10
# SrFe2AgPd (PBE, optimized geometry)
# Offset from the most stable computed form   1.079 eV per atom
# Energy relative to the elements   9.19 eV per formula unit
# Calculated volume   120 Å³/cell
# Magnetization   5.1 Bohr magnetons per cell
# Raw total energy   -3.492 eV/atom
data_SrFe2AgPd
_chemical_formula_sum 'Sr1 Fe2 Ag1 Pd1'
_cell_length_a 4.863
_cell_length_b 5.085
_cell_length_c 4.863
_cell_angle_alpha 90.00
_cell_angle_beta 90.00
_cell_angle_gamma 90.00
_space_group_name_H-M_alt 'P 1'
_space_group_IT_number 1
loop_
_space_group_symop_operation_xyz
'x,y,z'
loop_
_atom_site_label
_atom_site_fract_x
_atom_site_fract_y
_atom_site_fract_z
Sr1 0.000 0.000 0.000
Ag1 0.500 0.500 0.500
Pd1 0.000 0.500 0.000
Fe1 0.000 0.000 0.500
Fe2 0.500 0.000 0.000

Record 11
# SrFe2AgPd (PBE, optimized geometry)
# Offset from the most stable computed form   0.000 eV per atom
# Energy relative to the elements   3.80 eV per formula unit
# Calculated volume   129 Å³/cell
# Magnetization   6.6 Bohr magnetons per cell
# Raw total energy   -4.570 eV/atom
data_SrFe2AgPd
_chemical_formula_sum 'Sr1 Fe2 Ag1 Pd1'
_cell_length_a 4.785
_cell_length_b 5.647
_cell_length_c 4.785
_cell_angle_alpha 90.00
_cell_angle_beta 90.00
_cell_angle_gamma 90.00
_space_group_name_H-M_alt 'P 1'
_space_group_IT_number 1
loop_
_space_group_symop_operation_xyz
'x,y,z'
loop_
_atom_site_label
_atom_site_fract_x
_atom_site_fract_y
_atom_site_fract_z
Sr1 0.000 0.500 0.000
Fe1 0.500 0.000 0.000
Fe2 0.000 0.000 0.500
Ag1 0.500 0.500 0.500
Pd1 0.000 0.000 0.000

Record 12
# ZrFeAgPd2 (PBE, optimized geometry)
# Energy relative to the elements   6.12 eV per formula unit
# Calculated volume   122 Å³/cell
# Magnetization   3.2 Bohr magnetons per cell
# Raw total energy   -4.825 eV/atom
data_ZrFeAgPd2
_chemical_formula_sum 'Zr1 Fe1 Ag1 Pd2'
_cell_length_a 4.847
_cell_length_b 5.175
_cell_length_c 4.847
_cell_angle_alpha 90.00
_cell_angle_beta 90.00
_cell_angle_gamma 90.00
_space_group_name_H-M_alt 'P 1'
_space_group_IT_number 1
loop_
_space_group_symop_operation_xyz
'x,y,z'
loop_
_atom_site_label
_atom_site_fract_x
_atom_site_fract_y
_atom_site_fract_z
Fe1 0.500 0.500 0.500
Pd1 0.000 0.000 0.500
Zr1 0.000 0.000 0.000
Pd2 0.500 0.000 0.000
Ag1 0.000 0.500 0.000